# NiC3

A relaxed NiC3 crystal (PBEsol, Alexandria).

Computed properties:
ΔE to the lowest computed polymorph: 726 meV per atom
M_tot: 0.000 μB per cell
energy relative to the elements: 759.4 kJ/mol of formula units

abc: 2.4911 2.4911 5.1944
angles: 90.00 90.00 120.00
Space group P-6m2 (No. 187)
Inequivalent atoms, fractional coordinates:
Ni (0.0000, 0.0000, 0.0000)
C (0.0000, 0.0000, 0.5000)
C (0.6667, 0.3333, 0.3164)